# 1
DFT (PBE-GGA) results for an optimized crystal structure of AcPr2Si6.

Results
Raw total energy   -5.68 eV/atom
Size of the total moment   0.000 μB per formula unit

POSCAR file:
```
AcPr2Si6
1.0
7.2572 0.0000 0.0000
-3.6286 6.2849 0.0000
0.0000 0.0000 4.3240
Ac Pr Si
1 2 6
direct
0.0000 0.0000 0.0000 Ac
0.3333 0.6667 0.0000 Pr
0.6667 0.3333 0.0000 Pr
0.0000 0.3375 0.5000 Si
0.0000 0.6625 0.5000 Si
0.3375 0.0000 0.5000 Si
0.3375 0.3375 0.5000 Si
0.6625 0.0000 0.5000 Si
0.6625 0.6625 0.5000 Si
```

# 2
DFT (PBE-GGA) results for an optimized crystal structure of TlSiPb2.

Results
Raw total energy   -3.51 eV/atom
Size of the total moment   0.000 μB per formula unit

POSCAR file:
```
TlSiPb2
1.0
6.3909 -1.8054 0.0000
6.3909 1.8054 0.0000
-2.2178 0.0000 4.8841
Tl Si Pb
1 1 2
direct
0.0000 0.0000 0.0000 Tl
0.5000 0.5000 0.5000 Si
0.2043 0.2043 0.7041 Pb
0.7957 0.7957 0.2959 Pb
```

# 3
DFT (PBE-GGA) results for an optimized crystal structure of TiP2AuS.

Results
Raw total energy   -4.29 eV/atom
Excess energy over the best structure of this formula in the dataset   620.6 meV/atom
Size of the total moment   0.000 μB per formula unit

POSCAR file:
```
TiP2AuS
1.0
4.7345 0.0000 0.0000
0.0000 4.7345 0.0000
0.0000 0.0000 4.8026
Ti P Au S
1 2 1 1
direct
0.0000 0.0000 0.0000 Ti
0.0000 0.5000 0.5000 P
0.5000 0.0000 0.5000 P
0.5000 0.5000 0.5000 Au
0.5000 0.5000 0.0000 S
```

# 4
DFT (PBE-GGA) results for an optimized crystal structure of KNiW2.

Results
Raw total energy   -6.83 eV/atom
Excess energy over the best structure of this formula in the dataset   649.4 meV/atom
Size of the total moment   0.000 μB per formula unit

POSCAR file:
```
KNiW2
1.0
2.6513 0.0000 0.0000
0.0000 5.3305 0.0000
-0.4473 0.0000 5.0661
K Ni W
1 1 2
direct
0.0000 0.0000 0.0000 K
0.5000 0.0000 0.5000 Ni
0.2569 0.5000 0.7399 W
0.7431 0.5000 0.2601 W
```

# 5
DFT (PBE-GGA) results for an optimized crystal structure of Be2InPt.

Results
Raw total energy   -4.13 eV/atom
Size of the total moment   0.000 μB per formula unit

POSCAR file:
```
Be2InPt
1.0
-1.8563 1.8876 3.9143
1.8563 -1.8876 3.9143
1.8563 1.8876 -3.9143
Be In Pt
2 1 1
direct
0.0000 0.0000 0.0000 Be
0.7361 0.2361 0.5000 Be
0.2511 0.7511 0.5000 In
0.5029 0.5029 0.0000 Pt
```

# 6
DFT (PBE-GGA) results for an optimized crystal structure of RbBi2Se2.

Results
Raw total energy   -3.54 eV/atom
Excess energy over the best structure of this formula in the dataset   0.0 meV/atom
Size of the total moment   0.000 μB per formula unit

POSCAR file:
```
RbBi2Se2
1.0
-2.9042 2.9042 5.1337
2.9042 -2.9042 5.1337
2.9042 2.9042 -5.1337
Rb Bi Se
1 2 2
direct
0.0000 0.0000 0.0000 Rb
0.3447 0.3447 0.0000 Bi
0.6553 0.6553 0.0000 Bi
0.2500 0.7500 0.5000 Se
0.7500 0.2500 0.5000 Se
```

# 7
DFT (PBE-GGA) results for an optimized crystal structure of BeCd2Cl.

Results
Raw total energy   -1.91 eV/atom
Excess energy over the best structure of this formula in the dataset   130.6 meV/atom
Size of the total moment   0.000 μB per formula unit

POSCAR file:
```
BeCd2Cl
1.0
-1.4805 2.9923 4.9425
1.4805 -2.9923 4.9425
1.4805 2.9923 -4.9425
Be Cd Cl
1 2 1
direct
0.0000 0.0000 0.0000 Be
0.2163 0.7163 0.5000 Cd
0.5039 0.5039 0.0000 Cd
0.8588 0.3588 0.5000 Cl
```

# 8
DFT (PBE-GGA) results for an optimized crystal structure of TlSnPb4.

Results
Raw total energy   -3.42 eV/atom
Excess energy over the best structure of this formula in the dataset   92.2 meV/atom
Size of the total moment   0.000 μB per formula unit

POSCAR file:
```
TlSnPb4
1.0
4.8059 -2.5623 0.0000
4.8059 2.5623 0.0000
-4.2495 0.0000 8.5400
Tl Sn Pb
1 1 4
direct
0.0000 0.0000 0.0000 Tl
0.5000 0.5000 0.5000 Sn
0.1246 0.1246 0.3786 Pb
0.3744 0.3744 0.1256 Pb
0.6256 0.6256 0.8744 Pb
0.8754 0.8754 0.6214 Pb
```

# 9
DFT (PBE-GGA) results for an optimized crystal structure of CsH3.

Results
Raw total energy   -1.97 eV/atom
Excess energy over the best structure of this formula in the dataset   838.1 meV/atom
Size of the total moment   0.402 μB per formula unit

POSCAR file:
```
CsH3
1.0
3.1130 1.7973 3.8382
-3.1130 1.7973 3.8382
0.0000 -3.5946 3.8382
Cs H
2 6
direct
0.0000 0.0000 0.0000 Cs
0.5000 0.5000 0.5000 Cs
0.1354 0.2500 0.3646 H
0.2500 0.3646 0.1354 H
0.3646 0.1354 0.2500 H
0.6354 0.8646 0.7500 H
0.7500 0.6354 0.8646 H
0.8646 0.7500 0.6354 H
```

# 10
DFT (PBE-GGA) results for an optimized crystal structure of AlP2Au.

Results
Raw total energy   -4.58 eV/atom
Size of the total moment   0.000 μB per formula unit

POSCAR file:
```
AlP2Au
1.0
3.2168 0.0000 0.0000
0.0000 3.2168 0.0000
0.0000 0.0000 6.8542
Al P Au
1 2 1
direct
0.0000 0.0000 0.0000 Al
0.0000 0.0000 0.6492 P
0.5000 0.5000 0.5511 P
0.5000 0.5000 0.1850 Au
```

# 11
DFT (PBE-GGA) results for an optimized crystal structure of La3Pr12Sc5.

Results
Raw total energy   -4.21 eV/atom
Size of the total moment   4.741 μB per formula unit

POSCAR file:
```
La3Pr12Sc5
1.0
-9.2753 9.2753 9.2753
9.2753 -9.2753 9.2753
9.2753 9.2753 -9.2753
La Pr Sc
12 48 20
direct
0.1250 0.2500 0.3750 La
0.1250 0.3750 0.7500 La
0.2500 0.3750 0.1250 La
0.2500 0.8750 0.6250 La
0.3750 0.1250 0.2500 La
0.3750 0.7500 0.1250 La
0.6250 0.2500 0.8750 La
0.6250 0.8750 0.7500 La
0.7500 0.1250 0.3750 La
0.7500 0.6250 0.8750 La
0.8750 0.6250 0.2500 La
0.8750 0.7500 0.6250 La
0.0564 0.2219 0.1217 Pr
0.0564 0.3344 0.9346 Pr
0.0654 0.6217 0.3998 Pr
0.0654 0.9436 0.6656 Pr
0.1002 0.7219 0.6656 Pr
0.1002 0.8783 0.4346 Pr
0.1217 0.0564 0.2219 Pr
0.1217 0.5654 0.8998 Pr
0.1656 0.2219 0.6002 Pr
0.1656 0.4436 0.5654 Pr
0.2219 0.1217 0.0564 Pr
0.2219 0.6002 0.1656 Pr
0.2781 0.3344 0.8998 Pr
0.2781 0.4436 0.3783 Pr
0.3344 0.8998 0.2781 Pr
0.3344 0.9346 0.0564 Pr
0.3783 0.2781 0.4436 Pr
0.3783 0.6002 0.9346 Pr
0.3998 0.0654 0.6217 Pr
0.3998 0.8344 0.7781 Pr
0.4346 0.1002 0.8783 Pr
0.4346 0.8344 0.5564 Pr
0.4436 0.3783 0.2781 Pr
0.4436 0.5654 0.1656 Pr
0.5564 0.4346 0.8344 Pr
0.5564 0.6217 0.7219 Pr
0.5654 0.1656 0.4436 Pr
0.5654 0.8998 0.1217 Pr
0.6002 0.1656 0.2219 Pr
0.6002 0.9346 0.3783 Pr
0.6217 0.3998 0.0654 Pr
0.6217 0.7219 0.5564 Pr
0.6656 0.0654 0.9436 Pr
0.6656 0.1002 0.7219 Pr
0.7219 0.5564 0.6217 Pr
0.7219 0.6656 0.1002 Pr
0.7781 0.3998 0.8344 Pr
0.7781 0.8783 0.9436 Pr
0.8344 0.5564 0.4346 Pr
0.8344 0.7781 0.3998 Pr
0.8783 0.4346 0.1002 Pr
0.8783 0.9436 0.7781 Pr
0.8998 0.1217 0.5654 Pr
0.8998 0.2781 0.3344 Pr
0.9346 0.0564 0.3344 Pr
0.9346 0.3783 0.6002 Pr
0.9436 0.6656 0.0654 Pr
0.9436 0.7781 0.8783 Pr
0.0000 0.0000 0.0000 Sc
0.0000 0.0000 0.5000 Sc
0.0000 0.5000 0.0000 Sc
0.0000 0.5000 0.5000 Sc
0.1250 0.7500 0.8750 Sc
0.1250 0.8750 0.2500 Sc
0.2500 0.1250 0.8750 Sc
0.2500 0.6250 0.3750 Sc
0.3750 0.2500 0.6250 Sc
0.3750 0.6250 0.7500 Sc
0.5000 0.0000 0.0000 Sc
0.5000 0.0000 0.5000 Sc
0.5000 0.5000 0.0000 Sc
0.5000 0.5000 0.5000 Sc
0.6250 0.3750 0.2500 Sc
0.6250 0.7500 0.3750 Sc
0.7500 0.3750 0.6250 Sc
0.7500 0.8750 0.1250 Sc
0.8750 0.1250 0.7500 Sc
0.8750 0.2500 0.1250 Sc
```

# 12
DFT (PBE-GGA) results for an optimized crystal structure of CrCl2.

Results
Raw total energy   -3.68 eV/atom
Excess energy over the best structure of this formula in the dataset   1693.1 meV/atom
Size of the total moment   3.977 μB per formula unit

POSCAR file:
```
CrCl2
1.0
0.0000 4.1494 4.1494
4.1494 0.0000 4.1494
4.1494 4.1494 0.0000
Cr Cl
2 4
direct
0.1250 0.1250 0.1250 Cr
0.8750 0.8750 0.8750 Cr
0.0000 0.5000 0.5000 Cl
0.5000 0.0000 0.5000 Cl
0.5000 0.5000 0.0000 Cl
0.5000 0.5000 0.5000 Cl
```